1.
Material: YAg2I
Method: DFT, GGA-PBE
State: optimized geometry

Values from the calculation:
Formation energy (no corrections) (eV per atom): 0.075
Space-group type: Fm-3m
Excess energy over the best structure of this formula in the dataset (eV per formula unit): 0.886

a = 5.231 Å, b = 5.231 Å, c = 5.231 Å
α = 60.00°, β = 60.00°, γ = 60.00°
Atoms (fractional coordinates):
I  0.500  0.500  0.500
Ag  0.750  0.750  0.750
Ag  0.250  0.250  0.250
Y  0.000  0.000  0.000

---

2.
Material: TcSn2Mo
Method: DFT, GGA-PBE
State: optimized geometry

Values from the calculation:
Calculated formation energy (meV per atom): 158
Space-group type: Cmc2_1
Excess energy over the best structure of this formula in the dataset (eV per formula unit): 0.664

a = 4.532 Å, b = 9.653 Å, c = 7.255 Å
α = 90.00°, β = 90.00°, γ = 90.00°
Atoms (fractional coordinates):
Sn  0.500  0.409  0.266
Sn  0.500  0.100  0.133
Sn  0.500  0.900  0.633
Sn  0.000  0.909  0.266
Sn  0.000  0.400  0.633
Sn  0.500  0.591  0.766
Sn  0.000  0.600  0.133
Sn  0.000  0.091  0.766
Tc  0.000  0.200  0.353
Tc  0.000  0.800  0.853
Tc  0.500  0.700  0.353
Tc  0.500  0.300  0.853
Mo  0.500  0.192  0.541
Mo  0.000  0.692  0.541
Mo  0.500  0.808  0.041
Mo  0.000  0.308  0.041

---

3.
Material: TbPb3S4
Method: DFT, GGA-PBE
State: optimized geometry

Values from the calculation:
Formation energy (no corrections) (eV per atom): -0.815
Space-group type: Pmmn

a = 5.807 Å, b = 8.964 Å, c = 9.089 Å
α = 90.00°, β = 90.00°, γ = 90.00°
Atoms (fractional coordinates):
Pb  0.565  0.352  0.307
Pb  0.565  0.352  0.693
Pb  0.065  0.648  0.193
Pb  0.065  0.648  0.807
Pb  0.564  0.905  0.000
Pb  0.064  0.095  0.500
S  0.064  0.757  0.500
S  0.564  0.666  0.777
S  0.064  0.334  0.277
S  0.564  0.063  0.500
S  0.564  0.243  0.000
S  0.064  0.937  0.000
S  0.064  0.334  0.723
S  0.564  0.666  0.223
Tb  0.064  0.228  0.000
Tb  0.564  0.772  0.500

---

4.
Material: Be4AlCu5
Method: DFT, GGA-PBE
State: optimized geometry

Values from the calculation:
Calculated formation energy (meV per atom): -132
Space-group type: P4/mmm

a = 2.756 Å, b = 2.756 Å, c = 13.807 Å
α = 90.00°, β = 90.00°, γ = 90.00°
Atoms (fractional coordinates):
Be  0.000  0.000  0.781
Be  0.000  0.000  0.594
Be  0.000  0.000  0.219
Be  0.000  0.000  0.406
Cu  0.500  0.500  0.123
Cu  0.500  0.500  0.311
Cu  0.500  0.500  0.877
Cu  0.500  0.500  0.689
Cu  0.500  0.500  0.500
Al  0.000  0.000  0.000

---

5.
Material: NpCuPb2S5
Method: DFT, GGA-PBE
State: optimized geometry

Values from the calculation:
Formation energy (no corrections) (eV per atom): -0.716
Space-group type: Cmc2_1

a = 3.963 Å, b = 8.758 Å, c = 12.715 Å
α = 90.00°, β = 90.00°, γ = 103.08°
Each line ends with the local moment (μB).
Atoms (fractional coordinates):
Np  0.204  0.408  0.027  2.71
Np  0.796  0.592  0.527  2.71
Cu  0.569  0.138  0.936  -0.13
Cu  0.431  0.862  0.436  -0.13
S  0.054  0.107  0.032  -0.11
S  0.946  0.893  0.532  -0.11
S  0.643  0.285  0.504  -0.08
S  0.284  0.568  0.665  -0.11
S  0.716  0.432  0.165  -0.11
S  0.357  0.715  0.004  -0.08
S  0.499  0.999  0.782  -0.04
S  0.700  0.399  0.891  -0.12
S  0.300  0.601  0.391  -0.12
S  0.501  0.001  0.282  -0.04
Pb  0.089  0.178  0.664  -0.01
Pb  0.119  0.239  0.323  0.00
Pb  0.881  0.761  0.823  0.00
Pb  0.911  0.822  0.164  -0.01

---

6.
Material: ZrIn3S
Method: DFT, GGA-PBE
State: optimized geometry

Values from the calculation:
Formation energy (no corrections) (eV per atom): 0.822
Space-group type: Pm-3m
Excess energy over the best structure of this formula in the dataset (eV per formula unit): 1.556

a = 5.665 Å, b = 5.665 Å, c = 5.665 Å
α = 90.00°, β = 90.00°, γ = 90.00°
Each line ends with the local moment (μB).
Atoms (fractional coordinates):
S  0.500  0.500  0.500  0.04
In  0.000  0.500  0.000  0.07
In  0.000  0.000  0.500  0.05
In  0.500  0.000  0.000  0.03
Zr  0.000  0.000  0.000  0.33

---

7.
Material: IrRu2
Method: DFT, GGA-PBE
State: optimized geometry

Values from the calculation:
Calculated formation energy (meV per atom): -35
Space-group type: Cm
Excess energy over the best structure of this formula in the dataset (eV per formula unit): 0.044

a = 2.739 Å, b = 5.129 Å, c = 6.430 Å
α = 76.82°, β = 90.00°, γ = 105.49°
Atoms (fractional coordinates):
Ru  0.722  0.445  0.057
Ru  0.334  0.667  0.333
Ru  0.055  0.110  0.388
Ru  0.389  0.778  0.722
Ir  0.999  0.998  0.002
Ir  0.668  0.335  0.664

---

8.
Material: Nb3NiP2
Method: DFT, GGA-PBE
State: optimized geometry

Values from the calculation:
Calculated formation energy (meV per atom): -729
Space-group type: Pnma

a = 3.583 Å, b = 9.841 Å, c = 10.157 Å
α = 90.00°, β = 90.00°, γ = 90.00°
Atoms (fractional coordinates):
Nb  0.750  0.205  0.300
Nb  0.750  0.295  0.800
Nb  0.750  0.616  0.950
Nb  0.250  0.078  0.874
Nb  0.750  0.578  0.626
Nb  0.250  0.705  0.200
Nb  0.750  0.922  0.126
Nb  0.250  0.116  0.550
Nb  0.250  0.384  0.050
Nb  0.750  0.884  0.450
Nb  0.250  0.422  0.374
Nb  0.250  0.795  0.700
P  0.250  0.503  0.809
P  0.750  0.003  0.691
P  0.750  0.189  0.030
P  0.750  0.497  0.191
P  0.250  0.997  0.309
P  0.250  0.811  0.970
P  0.250  0.689  0.470
P  0.750  0.311  0.530
Ni  0.250  0.380  0.629
Ni  0.250  0.120  0.129
Ni  0.750  0.620  0.371
Ni  0.750  0.880  0.871

---

9.
Material: LiErTaRu
Method: DFT, GGA-PBE
State: optimized geometry

Values from the calculation:
Calculated formation energy (meV per atom): -60
Space-group type: F-43m

a = 4.642 Å, b = 4.642 Å, c = 4.642 Å
α = 60.00°, β = 60.00°, γ = 60.00°
Atoms (fractional coordinates):
Er  0.500  0.500  0.500
Ru  0.750  0.750  0.750
Ta  0.000  0.000  0.000
Li  0.250  0.250  0.250

---

10.
Material: MgAsPt
Method: DFT, GGA-PBE
State: optimized geometry

Values from the calculation:
Calculated formation energy (meV per atom): -522
Space-group type: P-6m2

a = 4.293 Å, b = 4.293 Å, c = 3.380 Å
α = 90.00°, β = 90.00°, γ = 120.00°
Atoms (fractional coordinates):
Mg  0.333  0.667  0.333
Pt  0.667  0.333  0.834
As  0.000  0.000  0.833

---

11.
Material: CaMo2Ru
Method: DFT, GGA-PBE
State: optimized geometry

Values from the calculation:
Calculated formation energy (meV per atom): 703
Space-group type: Fm-3m
Excess energy over the best structure of this formula in the dataset (eV per formula unit): 1.172

a = 4.557 Å, b = 4.557 Å, c = 4.557 Å
α = 60.00°, β = 60.00°, γ = 60.00°
Atoms (fractional coordinates):
Mo  0.250  0.250  0.250
Mo  0.750  0.750  0.750
Ca  0.000  0.000  0.000
Ru  0.500  0.500  0.500

---

12.
Material: ErU3P4
Method: DFT, GGA-PBE
State: optimized geometry

Values from the calculation:
Calculated formation energy (meV per atom): -1126
Space-group type: Cmmm

a = 3.920 Å, b = 6.843 Å, c = 6.843 Å
α = 109.16°, β = 90.00°, γ = 90.00°
Each line ends with the local moment (μB).
Atoms (fractional coordinates):
U  0.000  0.500  0.000  1.99
U  0.500  0.500  0.500  2.03
U  0.000  0.000  0.500  1.99
P  0.000  0.749  0.749  -0.06
P  0.000  0.251  0.251  -0.06
P  0.500  0.750  0.250  -0.07
P  0.500  0.250  0.750  -0.07
Er  0.500  0.000  0.000  -0.01

---

Q: Number 4 is which compound?
A: Be4AlCu5